A | # VW2O8 | the Alexandria database | PBE+U | relaxed
data_VW2O8
_space_group_name_H-M_alt 'C 1 2/m 1'
_space_group_IT_number 12
_space_group_name_Hall '-C 2y'
_cell_length_a 13.155
_cell_length_b 5.242
_cell_length_c 5.229
_cell_angle_alpha 90.00
_cell_angle_beta 92.43
_cell_angle_gamma 90.00
loop_
_atom_site_label
_atom_site_fract_x
_atom_site_fract_y
_atom_site_fract_z
V1 0.000 0.000 0.000
W1 0.148 0.000 0.420
O1 0.086 0.244 0.218
O2 0.099 0.000 0.751
O3 0.217 0.500 0.602
# crystal system = monoclinic

B | # VW2O8 | the Alexandria database | PBE+U | relaxed
data_VW2O8
_space_group_name_H-M_alt 'P 1 2/c 1'
_space_group_IT_number 13
_space_group_name_Hall '-P 2yc'
_cell_length_a 5.018
_cell_length_b 5.846
_cell_length_c 10.397
_cell_angle_alpha 90.00
_cell_angle_beta 117.04
_cell_angle_gamma 90.00
loop_
_atom_site_label
_atom_site_fract_x
_atom_site_fract_y
_atom_site_fract_z
V1 0.000 0.143 0.250
W1 0.232 0.335 0.991
O1 0.173 0.391 0.612
O2 0.204 0.164 0.140
O3 0.249 0.100 0.880
O4 0.315 0.389 0.392
# crystal system = monoclinic

Which of them is least stable? Easy: A.